--- one ---
Below is crystalline Na2PdAu2 at its relaxed geometry, with properties calculated at the PBE-GGA level.

Lattice parameters (Å, degrees): 7.420 7.420 7.420 149.61 149.61 43.51
Positions (direct):
Na 0.250 0.750 0.500
Na 0.750 0.250 0.500
Pd 0.000 0.000 0.000
Au 0.404 0.404 0.000
Au 0.596 0.596 0.000

Spin magnetization, μB/f.u.: 0.0
Volume, Å³ per cell: 104.23


--- two ---
Below is crystalline Na2PdAu2 at its relaxed geometry, with properties calculated at the PBE-GGA level.

Lattice parameters (Å, degrees): 5.647 5.647 5.647 132.13 121.20 79.12
Positions (direct):
Na 0.194 0.194 0.000
Na 0.806 0.806 0.000
Pd 0.500 0.000 0.500
Au 0.243 0.500 0.743
Au 0.757 0.500 0.257

Spin magnetization, μB/f.u.: 0.0
Volume, Å³ per cell: 110.60


Most stable structure, least stable structure: two, one.


--- one ---
Below is crystalline Na2PdAu2 at its relaxed geometry, with properties calculated at the PBE-GGA level.

Lattice parameters (Å, degrees): 6.946 6.946 4.501 90.00 90.00 90.00
Positions (direct):
Na 0.172 0.328 0.000
Na 0.328 0.828 0.000
Na 0.672 0.172 0.000
Na 0.828 0.672 0.000
Pd 0.000 0.000 0.500
Pd 0.500 0.500 0.500
Au 0.139 0.639 0.500
Au 0.361 0.139 0.500
Au 0.639 0.861 0.500
Au 0.861 0.361 0.500

Spin magnetization, μB/f.u.: 0.0
Volume, Å³ per cell: 217.14


--- two ---
Below is crystalline Na2PdAu2 at its relaxed geometry, with properties calculated at the PBE-GGA level.

Lattice parameters (Å, degrees): 8.288 8.288 2.874 90.00 90.00 90.00
Positions (direct):
Na 0.133 0.367 0.000
Na 0.367 0.867 0.000
Na 0.633 0.133 0.000
Na 0.867 0.633 0.000
Pd 0.000 0.000 0.000
Pd 0.500 0.500 0.000
Au 0.168 0.668 0.500
Au 0.332 0.168 0.500
Au 0.668 0.832 0.500
Au 0.832 0.332 0.500

Spin magnetization, μB/f.u.: 0.0
Volume, Å³ per cell: 197.41


Most stable structure, least stable structure: one, two.